i.
# LaHoS | Alexandria | GGA-PBE | optimized geometry
data_LaHoS
_cell_length_a 3.858
_cell_length_b 5.455
_cell_length_c 7.978
_cell_angle_alpha 90.00
_cell_angle_beta 90.00
_cell_angle_gamma 90.00
_symmetry_space_group_name_H-M 'P 1'
_symmetry_Int_Tables_number 1
loop_
_symmetry_equiv_pos_as_xyz
'x,y,z'
loop_
_atom_site_label
_atom_site_type_symbol
_atom_site_fract_x
_atom_site_fract_y
_atom_site_fract_z
S1 S 0.500 0.000 0.613
S2 S 0.000 0.500 0.387
Ho1 Ho 0.000 0.000 0.377
Ho2 Ho 0.500 0.500 0.623
La1 La 0.500 0.500 0.110
La2 La 0.000 0.000 0.890
# calculated density = 6.644 g/cm³



ii.
# LaHoS | Alexandria | GGA-PBE | optimized geometry
data_LaHoS
_cell_length_a 6.613
_cell_length_b 3.885
_cell_length_c 3.885
_cell_angle_alpha 120.00
_cell_angle_beta 90.00
_cell_angle_gamma 90.00
_symmetry_space_group_name_H-M 'P 1'
_symmetry_Int_Tables_number 1
loop_
_symmetry_equiv_pos_as_xyz
'x,y,z'
loop_
_atom_site_label
_atom_site_type_symbol
_atom_site_fract_x
_atom_site_fract_y
_atom_site_fract_z
S1 S 0.319 0.333 0.667
Ho1 Ho 0.084 0.000 0.000
La1 La 0.597 0.667 0.333
# calculated density = 6.452 g/cm³



Short version: i, ii, most stable first.